1.
ZnSe3 | PBE-GGA | optimized geometry

abc: 7.8660 12.6453 3.9491
angles: 90.00 90.00 90.00
Last column: nearest neighbours and their distance in Å.
Space group Cmcm (No. 63)
Inequivalent atoms, fractional coordinates:
1 Zn 0.0000 0.0656 0.2500  2 Zn 2.58, 2 Se 2.64
2 Se 0.0000 0.4370 0.2500  2 Se 2.54
3 Se 0.2282 0.3123 0.7500  2 Se 2.55, 1 Zn 2.64

Formation energy (no corrections) = 0.126 eV per atom
Magnetic moment = 0.00 μB per formula unit

2.
PmCoSi2Ni | PBE-GGA | optimized geometry

abc: 3.9892 3.9892 9.7679
angles: 90.00 90.00 90.00
Last column: nearest neighbours and their distance in Å.
Space group I-4m2 (No. 119)
Inequivalent atoms, fractional coordinates:
1 Pm 0.0000 0.0000 0.0000  8 Si 3.09, 4 Co 3.15, 4 Ni 3.15
2 Co 0.0000 0.5000 0.2500  4 Si 2.32
3 Si 0.0000 0.0000 0.3704  2 Co 2.32, 2 Ni 2.32, 1 Si 2.53
4 Ni 0.0000 0.5000 0.7500  4 Si 2.32

Formation energy (no corrections) = -0.786 eV per atom
Magnetic moment = 1.09 μB per formula unit

3.
Hf3ScS | PBE-GGA | optimized geometry

abc: 4.8182 4.8182 4.8182
angles: 90.00 90.00 90.00
Last column: nearest neighbours and their distance in Å.
Space group Pm-3m (No. 221)
Inequivalent atoms, fractional coordinates:
1 Hf 0.0000 0.0000 0.5000  2 S 2.41
2 Sc 0.5000 0.5000 0.5000  12 Hf 3.41
3 S 0.0000 0.0000 0.0000  6 Hf 2.41

Formation energy (no corrections) = -0.437 eV per atom
Relative energy among the computed polymorphs = 0.00 eV/f.u.
Magnetic moment = 0.00 μB per formula unit

4.
Sr2BTePd | PBE-GGA | optimized geometry

abc: 5.7342 5.7342 4.0687
angles: 90.00 90.00 90.00
Last column: nearest neighbours and their distance in Å.
Space group P4/mmm (No. 123)
Inequivalent atoms, fractional coordinates:
1 Sr 0.0000 0.5000 0.0000  2 B 2.87
2 B 0.0000 0.0000 0.0000  2 Pd 2.03
3 Te 0.5000 0.5000 0.5000  8 Sr 3.52
4 Pd 0.0000 0.0000 0.5000  2 B 2.03

Formation energy (no corrections) = -0.603 eV per atom
Magnetic moment = 0.00 μB per formula unit

5.
La3Tb4Sm5 | PBE-GGA | optimized geometry

abc: 6.3071 7.2584 8.9191
angles: 89.99 89.86 89.92
Last column: nearest neighbours and their distance in Å.
Space group P-1 (No. 2)
Inequivalent atoms, fractional coordinates:
1 La 0.0000 0.0000 0.0000  8 Sm 3.63-3.66, 2 La 3.65, 2 Tb 3.65
2 La 0.1655 0.2517 0.3340  6 Tb 3.60-3.65, 5 Sm 3.64-3.65, 1 La 3.65
3 Tb 0.1691 0.7483 0.3339  4 La 3.60-3.65, 3 Tb 3.61-3.65, 5 Sm 3.63-3.66
4 Tb 0.3336 0.4993 0.6665  4 Tb 3.61-3.65, 5 Sm 3.62-3.64, 3 La 3.63-3.64
5 Sm 0.0000 0.5000 0.0000  4 Sm 3.62-3.64, 4 La 3.63-3.64, 4 Tb 3.64
6 Sm 0.3346 0.0002 0.6660  3 Sm 3.62-3.66, 5 Tb 3.62-3.66, 4 La 3.64-3.65
7 Sm 0.4979 0.7478 0.9999  6 Sm 3.60-3.66, 3 Tb 3.63, 3 La 3.63-3.66

E_form = 2.0 kJ per mole of atoms
Relative energy among the computed polymorphs = 0.00 eV/f.u.
Magnetic moment = 0.00 μB per formula unit

6.
CeS6Br2 | PBE-GGA | optimized geometry

abc: 4.6529 8.1525 8.2279
angles: 119.59 94.90 94.33
Last column: nearest neighbours and their distance in Å.
Space group P-1 (No. 2)
Inequivalent atoms, fractional coordinates:
1 Ce 0.0000 0.0000 0.0000  6 S 2.91-3.10, 4 Br 2.97
2 S 0.0655 0.4409 0.2119  1 S 1.99
3 S 0.0682 0.2079 0.4373  1 S 1.99
4 S 0.3156 0.3347 0.3350  2 S 1.99
5 Br 0.4983 0.1322 0.8723  2 Ce 2.97

Formation energy (no corrections) = -0.523 eV per atom
Magnetic moment = 0.29 μB per formula unit